Record 1
Entry from Alexandria: a geometry-optimized Er2TlAs structure (PBE).

Structure (extended XYZ):
```
4
Lattice="-2.1168 -2.6479 2.0398 3.4464 -1.0519 -1.6258 2.1669 3.6882 7.0364" Properties=species:S:1:pos:R:3 pbc="T T T"
Er 0.1599 0.3433 2.5301
Er 3.3366 -0.3550 4.9203
Tl 0.6648 -1.8499 0.2070
As 2.8067 1.3181 2.7053
```

Output
DOS(E_F)   1.7 states/eV/f.u.
Formation enthalpy at 0 K   -0.880 eV/atom

=====

Record 2
Entry from Alexandria: a geometry-optimized ErTm2As3 structure (PBE).

Structure (extended XYZ):
```
6
Lattice="3.9180 0.0000 -1.1101 -0.6023 5.3127 -2.1260 -0.1218 -0.3127 7.0395" Properties=species:S:1:pos:R:3 pbc="T T T"
Er -0.3012 2.6564 -1.0630
Tm 2.4705 0.7804 1.2503
Tm 0.7234 4.2196 2.5532
As 1.0219 1.5592 3.6068
As 0.0000 0.0000 0.0000
As 2.1720 3.4409 0.1967
```

Output
DOS(E_F)   0.9 states/eV/f.u.
Formation enthalpy at 0 K   -1.511 eV/atom

=====

Record 3
Entry from Alexandria: a geometry-optimized Er3TmAs4 structure (PBE).

Structure (extended XYZ):
```
8
Lattice="-1.7665 -2.6846 -2.5107 -2.7683 -3.3711 5.5525 -4.4810 4.9977 -2.1911" Properties=species:S:1:pos:R:3 pbc="T T T"
Er -2.2405 2.4989 -1.0956
Er -4.5079 -0.5290 0.4253
Er -1.3841 -1.6856 2.7762
Tm -0.8833 -1.3423 -1.2553
As -1.8063 0.4053 0.8375
As -4.0789 -2.6251 2.3648
As -5.4430 1.2213 2.5238
As -4.9369 1.5671 -1.5141
```

Output
DOS(E_F)   1.1 states/eV/f.u.
Formation enthalpy at 0 K   -1.517 eV/atom

=====

Record 4
Entry from Alexandria: a geometry-optimized Er5Tm3As8 structure (PBE).

Structure (extended XYZ):
```
16
Lattice="-0.4911 7.8335 2.1913 3.9966 2.6456 6.5904 6.4705 4.8807 -0.8452" Properties=species:S:1:pos:R:3 pbc="T T T"
Er -0.2456 3.9167 1.0956
Er 1.7528 5.2395 4.3908
Er 0.0000 0.0000 0.0000
Er 1.9983 1.3228 3.2952
Er 4.9880 7.6799 3.9682
Tm 2.9897 6.3571 0.6731
Tm 3.2352 2.4403 -0.4226
Tm 5.2336 3.7631 2.8726
As 5.7241 6.2764 1.5622
As 7.7256 7.6013 4.8627
As 5.4781 10.1994 2.6596
As 7.4756 11.5181 5.9569
As 4.2520 9.0834 6.3743
As 2.2504 7.7585 3.0738
As 4.4979 5.1604 5.2769
As 2.5004 3.8416 1.9796
```

Output
DOS(E_F)   3.1 states/eV/f.u.
Formation enthalpy at 0 K   -1.514 eV/atom

=====

What is the formula in the second record?
ErTm2As3

=====

Which formula does entry 2 have?
ErTm2As3

=====

Repeat the second record exactly.
Entry from Alexandria: a geometry-optimized ErTm2As3 structure (PBE).

Structure (extended XYZ):
```
6
Lattice="3.9180 0.0000 -1.1101 -0.6023 5.3127 -2.1260 -0.1218 -0.3127 7.0395" Properties=species:S:1:pos:R:3 pbc="T T T"
Er -0.3012 2.6564 -1.0630
Tm 2.4705 0.7804 1.2503
Tm 0.7234 4.2196 2.5532
As 1.0219 1.5592 3.6068
As 0.0000 0.0000 0.0000
As 2.1720 3.4409 0.1967
```

Output
DOS(E_F)   0.9 states/eV/f.u.
Formation enthalpy at 0 K   -1.511 eV/atom